## AcMoN2 (PBE)

Data for a relaxed structure of AcMoN2.

Results
Its uncorrected formation energy is -0.47 eV/atom. The magnetization is 0.24 μB/cell. For the density, the calculation gives 10.38 g/cm3. For the energy above the most stable polymorph in this dataset, the calculation gives 414 meV/atom. The uncorrected energy comes out at -8.37 eV per atom.

a b c (Å): 3.3634 3.3634 6.0531
angles (deg): 73.87 73.87 60.00
Closest atoms and distances in Å follow each position.
Fractional coordinates of all 4 atoms:
Ac  0.0000  0.0000  0.0000  6 N 2.62
Mo  0.5000  0.5000  0.5000  6 N 2.23
N  0.7691  0.7691  0.6926  3 Mo 2.23
N  0.2309  0.2309  0.3074  3 Mo 2.23